Record 1
# Ce3NdHo2Se6 PBE optimized geometry
data_Ce3NdHo2Se6
_chemical_formula_sum 'Ce6 Nd2 Ho4 Se12'
_space_group_name_H-M_alt 'C 1 2/m 1'
_space_group_IT_number 12
_cell_length_a 7.173
_cell_length_b 12.434
_cell_length_c 7.256
_cell_angle_alpha 90.00
_cell_angle_beta 109.28
_cell_angle_gamma 90.00
loop_
_space_group_symop_operation_xyz
'x,y,z'
'-x,-y,-z'
'-x,y,-z'
'x,-y,z'
'x+1/2,y+1/2,z'
'-x+1/2,-y+1/2,-z'
'-x+1/2,y+1/2,-z'
'x+1/2,-y+1/2,z'
loop_
_atom_site_label
_atom_site_fract_x
_atom_site_fract_y
_atom_site_fract_z
_atom_site_occupancy
Ce1 0.000 0.000 0.000 1
Ce2 0.000 0.338 0.000 1
Nd1 0.000 0.500 0.500 1
Ho1 0.000 0.167 0.500 1
Se1 0.236 0.000 0.738 1
Se2 0.248 0.171 0.257 1
# ΔE_f (raw)	-21.6	eV/f.u.
# total magnetization	0.250	μB per atom

Record 2
# Na2Mg3Cd4 PBE optimized geometry
data_Na2Mg3Cd4
_chemical_formula_sum 'Na2 Mg3 Cd4'
_space_group_name_H-M_alt 'P -1'
_space_group_IT_number 2
_cell_length_a 5.037
_cell_length_b 5.047
_cell_length_c 9.590
_cell_angle_alpha 89.63
_cell_angle_beta 89.80
_cell_angle_gamma 60.27
loop_
_space_group_symop_operation_xyz
'x,y,z'
'-x,-y,-z'
loop_
_atom_site_label
_atom_site_fract_x
_atom_site_fract_y
_atom_site_fract_z
_atom_site_occupancy
Na1 0.166 0.168 0.221 1
Mg1 0.167 0.167 0.573 1
Mg2 0.500 0.500 0.000 1
Cd1 0.167 0.166 0.895 1
Cd2 0.499 0.501 0.340 1
# total magnetization	0.000	μB per atom
# formation energy	-0.05	eV/atom

Record 3
# Pm2NdHo9 PBE optimized geometry
data_Pm2NdHo9
_chemical_formula_sum 'Pm2 Nd1 Ho9'
_space_group_name_H-M_alt 'P 6/m m m'
_space_group_IT_number 191
_space_group_name_Hall '-P 6 2'
_cell_length_a 11.2537
_cell_length_b 11.2537
_cell_length_c 3.5135
_cell_angle_alpha 90.00
_cell_angle_beta 90.00
_cell_angle_gamma 120.00
loop_
_atom_site_label
_atom_site_fract_x
_atom_site_fract_y
_atom_site_fract_z
_atom_site_occupancy
Pm1 0.3333 0.6667 0.0000 1
Nd1 0.0000 0.0000 0.0000 1
Ho1 0.0000 0.5000 0.0000 1
Ho2 0.1761 0.3522 0.5000 1
# total magnetization	0.000	μB per atom
# formation energy	0.06	eV/atom

Record 4
# Pu4CdPd4 PBE optimized geometry
data_Pu4CdPd4
_chemical_formula_sum 'Pu8 Cd2 Pd8'
_space_group_name_H-M_alt 'P 42/n'
_space_group_IT_number 86
_cell_length_a 8.614
_cell_length_b 8.614
_cell_length_c 5.859
_cell_angle_alpha 90.00
_cell_angle_beta 90.00
_cell_angle_gamma 90.00
loop_
_space_group_symop_operation_xyz
'x,y,z'
'-x,-y,-z'
'-y,x+1/2,z+1/2'
'y,-x+1/2,-z+1/2'
'-x+1/2,-y+1/2,z'
'x+1/2,y+1/2,-z'
'y+1/2,-x,z+1/2'
'-y+1/2,x,-z+1/2'
loop_
_atom_site_label
_atom_site_fract_x
_atom_site_fract_y
_atom_site_fract_z
_atom_site_occupancy
Pu1 0.039 0.664 0.114 1
Cd1 0.250 0.250 0.250 1
Pd1 0.026 0.643 0.603 1
# total magnetization	2.543	μB per atom
# formation energy	-0.22	eV/atom

Record 5
# La2YBi PBE optimized geometry
data_La2YBi
_chemical_formula_sum 'La4 Y2 Bi2'
_space_group_name_H-M_alt 'P 1 21/m 1'
_space_group_IT_number 11
_cell_length_a 4.690
_cell_length_b 4.679
_cell_length_c 12.264
_cell_angle_alpha 90.00
_cell_angle_beta 101.07
_cell_angle_gamma 90.00
loop_
_space_group_symop_operation_xyz
'x,y,z'
'-x,-y,-z'
'-x,y+1/2,-z'
'x,-y+1/2,z'
loop_
_atom_site_label
_atom_site_fract_x
_atom_site_fract_y
_atom_site_fract_z
_atom_site_occupancy
La1 0.050 0.250 0.127 1
La2 0.424 0.250 0.863 1
Y1 0.305 0.750 0.610 1
Bi1 0.176 0.750 0.349 1
# total magnetization	0.000	μB per atom
# formation energy	-0.43	eV/atom

Record 6
# ScAlTc2 PBE optimized geometry
data_ScAlTc2
_chemical_formula_sum 'Sc1 Al1 Tc2'
_space_group_name_H-M_alt 'P 1 2/m 1'
_space_group_IT_number 10
_cell_length_a 2.774
_cell_length_b 4.326
_cell_length_c 5.327
_cell_angle_alpha 90.00
_cell_angle_beta 98.33
_cell_angle_gamma 90.00
loop_
_space_group_symop_operation_xyz
'x,y,z'
'-x,-y,-z'
'-x,y,-z'
'x,-y,z'
loop_
_atom_site_label
_atom_site_fract_x
_atom_site_fract_y
_atom_site_fract_z
_atom_site_occupancy
Sc1 0.000 0.000 0.000 1
Al1 0.500 0.000 0.500 1
Tc1 0.238 0.500 0.737 1
# total magnetization	0.000	μB per atom
# formation energy	-0.13	eV/atom

Record 7
# NiAsW2 PBE optimized geometry
data_NiAsW2
_chemical_formula_sum 'Ni3 As3 W6'
_space_group_name_H-M_alt 'R -3 m'
_space_group_IT_number 166
_space_group_name_Hall '-R 3 2"'
_cell_length_a 2.8278
_cell_length_b 2.8278
_cell_length_c 25.9862
_cell_angle_alpha 90.00
_cell_angle_beta 90.00
_cell_angle_gamma 120.00
loop_
_atom_site_label
_atom_site_fract_x
_atom_site_fract_y
_atom_site_fract_z
_atom_site_occupancy
Ni1 0.0000 0.0000 0.0000 1
As1 0.0000 0.0000 0.5000 1
W1 0.0000 0.0000 0.2527 1
# total magnetization	0.000	μB per atom
# formation energy	0.39	eV/atom

Record 8
# Li2LaSc PBE optimized geometry
data_Li2LaSc
_chemical_formula_sum 'Li6 La3 Sc3'
_space_group_name_H-M_alt 'R 3 m'
_space_group_IT_number 160
_space_group_name_Hall 'R 3 -2"'
_cell_length_a 3.4038
_cell_length_b 3.4038
_cell_length_c 31.6301
_cell_angle_alpha 90.00
_cell_angle_beta 90.00
_cell_angle_gamma 120.00
loop_
_atom_site_label
_atom_site_fract_x
_atom_site_fract_y
_atom_site_fract_z
_atom_site_occupancy
Li1 0.0000 0.0000 0.0000 1
Li2 0.0000 0.0000 0.2594 1
La1 0.0000 0.0000 0.7584 1
Sc1 0.0000 0.0000 0.5125 1
# total magnetization	0.000	μB per atom
# formation energy	0.12	eV/atom

Record 9
# PWSe2 PBE optimized geometry
data_PWSe2
_chemical_formula_sum 'P4 W4 Se8'
_space_group_name_H-M_alt 'I -4 2 d'
_space_group_IT_number 122
_space_group_name_Hall 'I -4 2bw'
_cell_length_a 6.216
_cell_length_b 6.216
_cell_length_c 9.894
_cell_angle_alpha 90.00
_cell_angle_beta 90.00
_cell_angle_gamma 90.00
loop_
_atom_site_label
_atom_site_fract_x
_atom_site_fract_y
_atom_site_fract_z
_atom_site_occupancy
P1 0.000 0.000 0.000 1
W1 0.000 0.000 0.500 1
Se1 0.224 0.250 0.625 1
# ΔE_f (raw)	3.0	eV/f.u.
# total magnetization	0.000	μB per atom

Record 10
# La7Pm12In PBE optimized geometry
data_La7Pm12In
_chemical_formula_sum 'La21 Pm36 In3'
_space_group_name_H-M_alt 'R -3'
_space_group_IT_number 148
_space_group_name_Hall '-R 3'
_cell_length_a 12.5325
_cell_length_b 12.5325
_cell_length_c 15.7002
_cell_angle_alpha 90.00
_cell_angle_beta 90.00
_cell_angle_gamma 120.00
loop_
_atom_site_label
_atom_site_fract_x
_atom_site_fract_y
_atom_site_fract_z
_atom_site_occupancy
La1 0.0000 0.0000 0.0000 1
La2 0.0087 0.4282 0.7013 1
Pm1 0.0363 0.1863 0.8077 1
Pm2 0.0685 0.8097 0.4247 1
In1 0.0000 0.0000 0.5000 1
# total magnetization	0.000	μB per atom
# formation energy	0.13	eV/atom

Record 11
# KCuTc2 PBE optimized geometry
data_KCuTc2
_chemical_formula_sum 'K4 Cu4 Tc8'
_space_group_name_H-M_alt 'F -4 3 m'
_space_group_IT_number 216
_space_group_name_Hall 'F -4 2 3'
_cell_length_a 6.433
_cell_length_b 6.433
_cell_length_c 6.433
_cell_angle_alpha 90.00
_cell_angle_beta 90.00
_cell_angle_gamma 90.00
loop_
_atom_site_label
_atom_site_fract_x
_atom_site_fract_y
_atom_site_fract_z
_atom_site_occupancy
K1 0.000 0.000 0.000 1
Cu1 0.250 0.250 0.250 1
Tc1 0.000 0.000 0.500 1
Tc2 0.250 0.250 0.750 1
# total magnetization	0.000	μB per atom
# formation energy	1.27	eV/atom

Record 12
# AcDySi2Pt4 PBE optimized geometry
data_AcDySi2Pt4
_chemical_formula_sum 'Ac1 Dy1 Si2 Pt4'
_space_group_name_H-M_alt 'P 4/m m m'
_space_group_IT_number 123
_space_group_name_Hall '-P 4 2'
_cell_length_a 4.166
_cell_length_b 4.166
_cell_length_c 9.490
_cell_angle_alpha 90.00
_cell_angle_beta 90.00
_cell_angle_gamma 90.00
loop_
_atom_site_label
_atom_site_fract_x
_atom_site_fract_y
_atom_site_fract_z
_atom_site_occupancy
Ac1 0.000 0.000 0.000 1
Dy1 0.000 0.000 0.500 1
Si1 0.500 0.500 0.378 1
Pt1 0.000 0.500 0.251 1
# ΔE_f (raw)	-7.7	eV/f.u.
# total magnetization	0.000	μB per atom

Record 13
# HoSb2Pd PBE optimized geometry
data_HoSb2Pd
_chemical_formula_sum 'Ho1 Sb2 Pd1'
_space_group_name_H-M_alt 'P 4/m m m'
_space_group_IT_number 123
_space_group_name_Hall '-P 4 2'
_cell_length_a 4.735
_cell_length_b 4.735
_cell_length_c 4.053
_cell_angle_alpha 90.00
_cell_angle_beta 90.00
_cell_angle_gamma 90.00
loop_
_atom_site_label
_atom_site_fract_x
_atom_site_fract_y
_atom_site_fract_z
_atom_site_occupancy
Ho1 0.000 0.000 0.000 1
Sb1 0.000 0.500 0.500 1
Pd1 0.500 0.500 0.000 1
# ΔE_f (raw)	-2.5	eV/f.u.
# total magnetization	0.000	μB per atom

Record 14
# LiInCoH6 PBE optimized geometry
data_LiInCoH6
_chemical_formula_sum 'Li1 In1 Co1 H6'
_space_group_name_H-M_alt 'P 3 1 2'
_space_group_IT_number 149
_cell_length_a 4.5072
_cell_length_b 4.5072
_cell_length_c 4.2440
_cell_angle_alpha 90.00
_cell_angle_beta 90.00
_cell_angle_gamma 120.00
loop_
_space_group_symop_operation_xyz
'x,y,z'
'-y,x-y,z'
'-x+y,-x,z'
'-y,-x,-z'
'-x+y,y,-z'
'x,x-y,-z'
loop_
_atom_site_label
_atom_site_fract_x
_atom_site_fract_y
_atom_site_fract_z
_atom_site_occupancy
Li1 0.0000 0.0000 0.0000 1
In1 0.6667 0.3333 0.5000 1
Co1 0.3333 0.6667 0.0000 1
H1 0.0622 0.3860 0.2254 1
# DFT total energy	-3.52	eV/atom
# total magnetization	0.000	μB per atom

Record 15
# AcLa2Cd2 PBE optimized geometry
data_AcLa2Cd2
_chemical_formula_sum 'Ac2 La4 Cd4'
_space_group_name_H-M_alt 'P 1 21/m 1'
_space_group_IT_number 11
_cell_length_a 3.994
_cell_length_b 5.728
_cell_length_c 14.675
_cell_angle_alpha 90.00
_cell_angle_beta 97.78
_cell_angle_gamma 90.00
loop_
_space_group_symop_operation_xyz
'x,y,z'
'-x,-y,-z'
'-x,y+1/2,-z'
'x,-y+1/2,z'
loop_
_atom_site_label
_atom_site_fract_x
_atom_site_fract_y
_atom_site_fract_z
_atom_site_occupancy
Ac1 0.144 0.250 0.290 1
La1 0.049 0.750 0.097 1
La2 0.240 0.750 0.476 1
Cd1 0.355 0.250 0.711 1
Cd2 0.456 0.750 0.910 1
# total magnetization	0.000	μB per atom
# formation energy	-0.25	eV/atom

Record 16
# K5Sm2F12 PBE optimized geometry
data_K5Sm2F12
_chemical_formula_sum 'K10 Sm4 F24'
_space_group_name_H-M_alt 'C 1 2/m 1'
_space_group_IT_number 12
_cell_length_a 13.405
_cell_length_b 8.082
_cell_length_c 6.774
_cell_angle_alpha 90.00
_cell_angle_beta 96.10
_cell_angle_gamma 90.00
loop_
_space_group_symop_operation_xyz
'x,y,z'
'-x,-y,-z'
'-x,y,-z'
'x,-y,z'
'x+1/2,y+1/2,z'
'-x+1/2,-y+1/2,-z'
'-x+1/2,y+1/2,-z'
'x+1/2,-y+1/2,z'
loop_
_atom_site_label
_atom_site_fract_x
_atom_site_fract_y
_atom_site_fract_z
_atom_site_occupancy
K1 0.000 0.000 0.000 1
K2 0.154 0.500 0.054 1
K3 0.242 0.000 0.434 1
Sm1 0.000 0.252 0.500 1
F1 0.068 0.500 0.376 1
F2 0.077 0.000 0.634 1
F3 0.106 0.197 0.259 1
F4 0.131 0.312 0.738 1
# ΔE_f (raw)	-60.2	eV/f.u.
# total magnetization	0.062	μB per atom

Record 17
# Sm3Ga2Ni6 PBE optimized geometry
data_Sm3Ga2Ni6
_chemical_formula_sum 'Sm12 Ga8 Ni24'
_space_group_name_H-M_alt 'I m -3 m'
_space_group_IT_number 229
_space_group_name_Hall '-I 4 2 3'
_cell_length_a 9.004
_cell_length_b 9.004
_cell_length_c 9.004
_cell_angle_alpha 90.00
_cell_angle_beta 90.00
_cell_angle_gamma 90.00
loop_
_atom_site_label
_atom_site_fract_x
_atom_site_fract_y
_atom_site_fract_z
_atom_site_occupancy
Sm1 0.000 0.000 0.291 1
Ga1 0.250 0.250 0.250 1
Ni1 0.000 0.336 0.336 1
# total magnetization	0.000	μB per atom
# formation energy	-0.49	eV/atom

Record 18
# RbCoGe2 PBE optimized geometry
data_RbCoGe2
_chemical_formula_sum 'Rb1 Co1 Ge2'
_space_group_name_H-M_alt 'P 4/m m m'
_space_group_IT_number 123
_space_group_name_Hall '-P 4 2'
_cell_length_a 3.150
_cell_length_b 3.150
_cell_length_c 8.080
_cell_angle_alpha 90.00
_cell_angle_beta 90.00
_cell_angle_gamma 90.00
loop_
_atom_site_label
_atom_site_fract_x
_atom_site_fract_y
_atom_site_fract_z
_atom_site_occupancy
Rb1 0.000 0.000 0.000 1
Co1 0.000 0.000 0.500 1
Ge1 0.500 0.500 0.335 1
# total magnetization	0.185	μB per atom
# formation energy	0.08	eV/atom

Record 19
# Pu2Tl3PdSe6 PBE optimized geometry
data_Pu2Tl3PdSe6
_chemical_formula_sum 'Pu4 Tl6 Pd2 Se12'
_space_group_name_H-M_alt 'C 1 2/m 1'
_space_group_IT_number 12
_cell_length_a 7.212
_cell_length_b 11.930
_cell_length_c 8.232
_cell_angle_alpha 90.00
_cell_angle_beta 108.82
_cell_angle_gamma 90.00
loop_
_space_group_symop_operation_xyz
'x,y,z'
'-x,-y,-z'
'-x,y,-z'
'x,-y,z'
'x+1/2,y+1/2,z'
'-x+1/2,-y+1/2,-z'
'-x+1/2,y+1/2,-z'
'x+1/2,-y+1/2,z'
loop_
_atom_site_label
_atom_site_fract_x
_atom_site_fract_y
_atom_site_fract_z
_atom_site_occupancy
Pu1 0.000 0.166 0.000 1
Tl1 0.000 0.000 0.500 1
Tl2 0.000 0.326 0.500 1
Pd1 0.000 0.500 0.000 1
Se1 0.222 0.346 0.189 1
Se2 0.224 0.000 0.228 1
# ΔE_f (raw)	-9.6	eV/f.u.
# total magnetization	0.754	μB per atom

Record 20
# CaCoWN2 PBE optimized geometry
data_CaCoWN2
_chemical_formula_sum 'Ca1 Co1 W1 N2'
_space_group_name_H-M_alt 'P 4/m m m'
_space_group_IT_number 123
_space_group_name_Hall '-P 4 2'
_cell_length_a 3.860
_cell_length_b 3.860
_cell_length_c 4.468
_cell_angle_alpha 90.00
_cell_angle_beta 90.00
_cell_angle_gamma 90.00
loop_
_atom_site_label
_atom_site_fract_x
_atom_site_fract_y
_atom_site_fract_z
_atom_site_occupancy
Ca1 0.000 0.000 0.000 1
Co1 0.000 0.000 0.500 1
W1 0.500 0.500 0.000 1
N1 0.000 0.500 0.500 1
# ΔE_f (raw)	9.8	eV/f.u.
# total magnetization	0.001	μB per atom

Number 1: calculated volume 25.5 Å³/atom. Number 2: calculated volume 23.5 Å³/atom. Number 3: calculated volume 32.1 Å³/atom. Number 4: calculated volume 24.2 Å³/atom. Number 5: calculated volume 33.0 Å³/atom. Number 6: calculated volume 15.8 Å³/atom. Number 7: calculated volume 15.0 Å³/atom. Number 8: calculated volume 26.4 Å³/atom. Number 9: calculated volume 23.9 Å³/atom. Number 10: calculated volume 35.6 Å³/atom. Number 11: calculated volume 16.6 Å³/atom. Number 12: calculated volume 20.6 Å³/atom. Number 13: calculated volume 22.7 Å³/atom. Number 14: calculated volume 8.3 Å³/atom. Number 15: calculated volume 33.3 Å³/atom. Number 16: calculated volume 19.2 Å³/atom. Number 17: calculated volume 16.6 Å³/atom. Number 18: calculated volume 20.0 Å³/atom. Number 19: calculated volume 27.9 Å³/atom. Number 20: calculated volume 13.3 Å³/atom.